(1)
# SbIr2Ru PBE optimized geometry
data_SbIr2Ru
_chemical_formula_sum 'Sb1 Ir2 Ru1'
_cell_length_a 2.906
_cell_length_b 2.906
_cell_length_c 7.742
_cell_angle_alpha 90.00
_cell_angle_beta 90.00
_cell_angle_gamma 90.00
_symmetry_space_group_name_H-M 'P 4/m m m'
_symmetry_Int_Tables_number 123
_symmetry_space_group_name_Hall '-P 4 2'
loop_
_atom_site_label
_atom_site_fract_x
_atom_site_fract_y
_atom_site_fract_z
Sb1 0.000 0.000 0.000
Ir1 0.500 0.500 0.272
Ru1 0.000 0.000 0.500
# - Crystal system: tetragonal
# - Density of states at the Fermi level: 4.1 states/eV/cell
# - Magnetization: 0.000 μB/atom


(2)
# SbIrRu2 PBE optimized geometry
data_SbIrRu2
_chemical_formula_sum 'Sb2 Ir2 Ru4'
_cell_length_a 9.131
_cell_length_b 2.917
_cell_length_c 4.787
_cell_angle_alpha 90.00
_cell_angle_beta 100.46
_cell_angle_gamma 90.00
_symmetry_space_group_name_H-M 'C 1 m 1'
_symmetry_Int_Tables_number 8
loop_
_symmetry_equiv_pos_as_xyz
'x,y,z'
'x,-y,z'
'x+1/2,y+1/2,z'
'x+1/2,-y+1/2,z'
loop_
_atom_site_label
_atom_site_fract_x
_atom_site_fract_y
_atom_site_fract_z
Sb1 0.000 0.000 0.000
Ir1 0.246 0.000 0.729
Ru1 0.252 0.500 0.266
Ru2 0.497 0.000 0.495
# - Crystal system: monoclinic
# - Density of states at the Fermi level: 5.0 states/eV/cell
# - Magnetization: 0.000 μB/atom


(3)
# SbIrRu2 PBE optimized geometry
data_SbIrRu2
_chemical_formula_sum 'Sb3 Ir3 Ru6'
_cell_length_a 2.9450
_cell_length_b 2.9450
_cell_length_c 25.4501
_cell_angle_alpha 90.00
_cell_angle_beta 90.00
_cell_angle_gamma 120.00
_symmetry_space_group_name_H-M 'R -3 m'
_symmetry_Int_Tables_number 166
_symmetry_space_group_name_Hall '-R 3 2"'
loop_
_atom_site_label
_atom_site_fract_x
_atom_site_fract_y
_atom_site_fract_z
Sb1 0.0000 0.0000 0.0000
Ir1 0.0000 0.0000 0.5000
Ru1 0.0000 0.0000 0.2504
# - Crystal system: trigonal
# - Density of states at the Fermi level: 15.6 states/eV/cell
# - Magnetization: 0.000 μB/atom


(4)
# SbIrRu4 PBE optimized geometry
data_SbIrRu4
_chemical_formula_sum 'Sb4 Ir4 Ru16'
_cell_length_a 7.258
_cell_length_b 7.258
_cell_length_c 7.258
_cell_angle_alpha 90.00
_cell_angle_beta 90.00
_cell_angle_gamma 90.00
_symmetry_space_group_name_H-M 'F -4 3 m'
_symmetry_Int_Tables_number 216
_symmetry_space_group_name_Hall 'F -4 2 3'
loop_
_atom_site_label
_atom_site_fract_x
_atom_site_fract_y
_atom_site_fract_z
Sb1 0.000 0.000 0.000
Ir1 0.250 0.250 0.750
Ru1 0.124 0.124 0.376
# - Crystal system: cubic
# - Density of states at the Fermi level: 39.6 states/eV/cell
# - Magnetization: 0.000 μB/atom


(5)
# SbIrRu2 PBE optimized geometry
data_SbIrRu2
_chemical_formula_sum 'Sb3 Ir3 Ru6'
_cell_length_a 2.9362
_cell_length_b 2.9362
_cell_length_c 25.7730
_cell_angle_alpha 90.00
_cell_angle_beta 90.00
_cell_angle_gamma 120.00
_symmetry_space_group_name_H-M 'R 3 m'
_symmetry_Int_Tables_number 160
_symmetry_space_group_name_Hall 'R 3 -2"'
loop_
_atom_site_label
_atom_site_fract_x
_atom_site_fract_y
_atom_site_fract_z
Sb1 0.0000 0.0000 0.0000
Ir1 0.0000 0.0000 0.2483
Ru1 0.0000 0.0000 0.4972
Ru2 0.0000 0.0000 0.7510
# - Crystal system: trigonal
# - Density of states at the Fermi level: 9.7 states/eV/cell
# - Magnetization: 0.000 μB/atom


(6)
# SbIr3Ru PBE optimized geometry
data_SbIr3Ru
_chemical_formula_sum 'Sb1 Ir3 Ru1'
_cell_length_a 4.724
_cell_length_b 4.724
_cell_length_c 4.724
_cell_angle_alpha 90.00
_cell_angle_beta 90.00
_cell_angle_gamma 90.00
_symmetry_space_group_name_H-M 'P m -3 m'
_symmetry_Int_Tables_number 221
_symmetry_space_group_name_Hall '-P 4 2 3'
loop_
_atom_site_label
_atom_site_fract_x
_atom_site_fract_y
_atom_site_fract_z
Sb1 0.000 0.000 0.000
Ir1 0.000 0.500 0.500
Ru1 0.500 0.500 0.500
# - Crystal system: cubic
# - Energy above the lowest structure with this stoichiometry: 0 meV/atom
# - Density of states at the Fermi level: 7.3 states/eV/cell
# - Magnetization: 0.000 μB/atom


(7)
# Sb6IrRu PBE optimized geometry
data_Sb6IrRu
_chemical_formula_sum 'Sb24 Ir4 Ru4'
_cell_length_a 13.245
_cell_length_b 9.380
_cell_length_c 9.382
_cell_angle_alpha 90.00
_cell_angle_beta 134.86
_cell_angle_gamma 90.00
_symmetry_space_group_name_H-M 'C 1 2/m 1'
_symmetry_Int_Tables_number 12
loop_
_symmetry_equiv_pos_as_xyz
'x,y,z'
'-x,-y,-z'
'-x,y,-z'
'x,-y,z'
'x+1/2,y+1/2,z'
'-x+1/2,-y+1/2,-z'
'-x+1/2,y+1/2,-z'
'x+1/2,-y+1/2,z'
loop_
_atom_site_label
_atom_site_fract_x
_atom_site_fract_y
_atom_site_fract_z
Sb1 0.002 0.156 0.162
Sb2 0.155 0.340 0.654
Sb3 0.158 0.500 0.004
Sb4 0.162 0.500 0.318
Ir1 0.250 0.250 0.000
Ru1 0.250 0.250 0.500
# - Crystal system: monoclinic
# - Density of states at the Fermi level: 25.5 states/eV/cell
# - Magnetization: 0.000 μB/atom


(8)
# Sb8Ir2Ru PBE optimized geometry
data_Sb8Ir2Ru
_chemical_formula_sum 'Sb8 Ir2 Ru1'
_cell_length_a 5.180
_cell_length_b 7.797
_cell_length_c 7.809
_cell_angle_alpha 69.65
_cell_angle_beta 89.84
_cell_angle_gamma 89.81
_symmetry_space_group_name_H-M 'P -1'
_symmetry_Int_Tables_number 2
loop_
_symmetry_equiv_pos_as_xyz
'x,y,z'
'-x,-y,-z'
loop_
_atom_site_label
_atom_site_fract_x
_atom_site_fract_y
_atom_site_fract_z
Sb1 0.195 0.291 0.376
Sb2 0.195 0.876 0.790
Sb3 0.208 0.831 0.331
Sb4 0.254 0.413 0.916
Ir1 0.254 0.628 0.128
Ru1 0.500 0.000 0.500
# - Crystal system: triclinic
# - Density of states at the Fermi level: 6.5 states/eV/cell
# - Magnetization: 0.000 μB/atom


Energy relative to the elements, uncorrected per entry: 1.329; 0.637; 1.494; 4.121; 1.620; 7.857; -1.902; -0.011 eV/f.u.